(1)
VASP calculation (GGA-PBE) on a relaxed structure of InCoReOs.

The relative energy among the computed polymorphs is 0.000 eV/atom. For the density, the calculation gives 15.2 g/cm3. The final energy is -0.5826 Ry/atom.

abc: 6.223 6.223 6.223
angles: 90.00 90.00 90.00
Space group F-43m (No. 216)
Asymmetric unit:
1 In 0.000 0.000 0.000 [4 per cell]
2 Co 0.250 0.250 0.250 [4 per cell]
3 Re 0.000 0.000 0.500 [4 per cell]
4 Os 0.250 0.250 0.750 [4 per cell]

=====

(2)
VASP calculation (GGA-PBE) on a relaxed structure of TbPrTlTe3.

The relative energy among the computed polymorphs is 0.000 eV/atom. For the density, the calculation gives 6.7 g/cm3. The final energy is -0.3322 Ry/atom.

abc: 4.591 15.445 12.320
angles: 90.00 90.00 90.00
Space group Cmcm (No. 63)
Asymmetric unit:
1 Tb 0.000 0.056 0.250 [4 per cell]
2 Pr 0.000 0.500 0.000 [4 per cell]
3 Tl 0.000 0.246 0.750 [4 per cell]
4 Te 0.000 0.145 0.040 [8 per cell]
5 Te 0.000 0.431 0.250 [4 per cell]

=====

(3)
VASP calculation (GGA-PBE) on a relaxed structure of DyHo2In3Ir2Au.

For the density, the calculation gives 12.0 g/cm3. The final energy is -0.4026 Ry/atom.

abc: 3.863 13.290 7.660
angles: 90.00 90.00 90.00
Space group Amm2 (No. 38)
Asymmetric unit:
1 Dy 0.000 0.000 0.000 [2 per cell]
2 Ho 0.000 0.205 0.385 [4 per cell]
3 In 0.500 0.000 0.321 [2 per cell]
4 In 0.500 0.135 0.725 [4 per cell]
5 Ir 0.500 0.167 0.090 [4 per cell]
6 Au 0.000 0.000 0.590 [2 per cell]

=====

(4)
VASP calculation (GGA-PBE) on a relaxed structure of ZnFeNiAu.

The relative energy among the computed polymorphs is 0.000 eV/atom. For the density, the calculation gives 11.5 g/cm3. Its calculated formation energy is 0.018 eV/atom. The final energy is -0.3369 Ry/atom.

abc: 6.020 6.020 6.020
angles: 90.00 90.00 90.00
Space group F-43m (No. 216)
Asymmetric unit:
1 Zn 0.000 0.000 0.000 [4 per cell]
2 Fe 0.250 0.250 0.250 [4 per cell]
3 Ni 0.000 0.000 0.500 [4 per cell]
4 Au 0.250 0.250 0.750 [4 per cell]

=====

(5)
VASP calculation (GGA-PBE) on a relaxed structure of YAsIrO.

The relative energy among the computed polymorphs is 0.000 eV/atom. For the density, the calculation gives 9.4 g/cm3. The final energy is -0.5911 Ry/atom.

abc: 4.038 4.038 8.103
angles: 90.00 90.00 90.00
Space group P4/nmm (No. 129, origin choice 2)
Asymmetric unit:
1 Y 0.250 0.250 0.131 [2 per cell]
2 As 0.250 0.250 0.676 [2 per cell]
3 Ir 0.250 0.750 0.500 [2 per cell]
4 O 0.250 0.750 0.000 [2 per cell]

=====

(6)
VASP calculation (GGA-PBE) on a relaxed structure of Si2Ag2B.

For the density, the calculation gives 5.5 g/cm3. The final energy is -0.2630 Ry/atom.

abc: 3.851 3.851 11.515
angles: 90.00 90.00 90.00
Space group I4/mmm (No. 139)
Asymmetric unit:
1 Si 0.000 0.000 0.097 [4 per cell]
2 Ag 0.000 0.500 0.250 [4 per cell]
3 B 0.000 0.000 0.500 [2 per cell]